{"formula": "V4MoH", "functional": "GGA-PBE", "state": "optimized geometry", "lattice_angstrom": [[5.228, 0.000, 0.000], [0.000, 4.793, 0.000], [-1.712, 0.000, 5.984]], "species": ["V", "V", "V", "V", "V", "V", "V", "V", "Mo", "Mo", "H", "H"], "frac_coords": [[0.095, 0.138, 0.197], [0.095, 0.362, 0.697], [0.330, 0.575, 0.112], [0.330, 0.925, 0.612], [0.670, 0.075, 0.388], [0.670, 0.425, 0.888], [0.905, 0.638, 0.303], [0.905, 0.862, 0.803], [0.500, 0.000, 0.000], [0.500, 0.500, 0.500], [0.000, 0.000, 0.500], [0.000, 0.500, 0.000]], "de_polymorph_ev_per_fu": 0.000}



{"formula": "VMoH2", "functional": "GGA-PBE", "state": "optimized geometry", "lattice_angstrom": [[2.844, 0.000, 0.000], [-1.421, 2.489, 0.000], [-0.015, -0.009, 4.945]], "species": ["V", "Mo", "H", "H"], "frac_coords": [[0.000, 0.000, 0.000], [0.335, 0.665, 0.480], [0.006, 0.004, 0.648], [0.668, 0.334, 0.223]], "de_polymorph_ev_per_fu": 0.423}



{"formula": "V2MoH", "functional": "GGA-PBE", "state": "optimized geometry", "lattice_angstrom": [[0.000, 2.938, 2.938], [2.938, 0.000, 2.938], [2.938, 2.938, 0.000]], "species": ["V", "V", "Mo", "H"], "frac_coords": [[0.250, 0.250, 0.250], [0.750, 0.750, 0.750], [0.000, 0.000, 0.000], [0.500, 0.500, 0.500]], "de_polymorph_ev_per_fu": 2.454}



{"formula": "V3Mo5H12", "functional": "GGA-PBE", "state": "optimized geometry", "lattice_angstrom": [[-5.357, 5.357, 5.357], [5.357, -5.357, 5.357], [5.357, 5.357, -5.357]], "species": ["V", "V", "V", "V", "V", "V", "V", "V", "V", "V", "V", "V", "Mo", "Mo", "Mo", "Mo", "Mo", "Mo", "Mo", "Mo", "Mo", "Mo", "Mo", "Mo", "Mo", "Mo", "Mo", "Mo", "Mo", "Mo", "Mo", "Mo", "H", "H", "H", "H", "H", "H", "H", "H", "H", "H", "H", "H", "H", "H", "H", "H", "H", "H", "H", "H", "H", "H", "H", "H", "H", "H", "H", "H", "H", "H", "H", "H", "H", "H", "H", "H", "H", "H", "H", "H", "H", "H", "H", "H", "H", "H", "H", "H"], "frac_coords": [[0.125, 0.250, 0.375], [0.125, 0.375, 0.750], [0.250, 0.375, 0.125], [0.250, 0.875, 0.625], [0.375, 0.125, 0.250], [0.375, 0.750, 0.125], [0.625, 0.250, 0.875], [0.625, 0.875, 0.750], [0.750, 0.125, 0.375], [0.750, 0.625, 0.875], [0.875, 0.625, 0.250], [0.875, 0.750, 0.625], [0.000, 0.000, 0.000], [0.000, 0.000, 0.500], [0.000, 0.500, 0.000], [0.000, 0.500, 0.500], [0.125, 0.750, 0.875], [0.125, 0.875, 0.250], [0.250, 0.125, 0.875], [0.250, 0.625, 0.375], [0.375, 0.250, 0.625], [0.375, 0.625, 0.750], [0.500, 0.000, 0.000], [0.500, 0.000, 0.500], [0.500, 0.500, 0.000], [0.500, 0.500, 0.500], [0.625, 0.375, 0.250], [0.625, 0.750, 0.375], [0.750, 0.375, 0.625], [0.750, 0.875, 0.125], [0.875, 0.125, 0.750], [0.875, 0.250, 0.125], [0.071, 0.230, 0.150], [0.071, 0.341, 0.920], [0.080, 0.650, 0.420], [0.080, 0.730, 0.659], [0.080, 0.850, 0.420], [0.080, 0.929, 0.659], [0.150, 0.071, 0.230], [0.150, 0.580, 0.920], [0.159, 0.230, 0.580], [0.159, 0.429, 0.580], [0.230, 0.150, 0.071], [0.230, 0.580, 0.159], [0.270, 0.341, 0.920], [0.270, 0.429, 0.350], [0.341, 0.920, 0.071], [0.341, 0.920, 0.270], [0.350, 0.270, 0.429], [0.350, 0.580, 0.920], [0.420, 0.080, 0.650], [0.420, 0.080, 0.850], [0.420, 0.841, 0.571], [0.420, 0.841, 0.770], [0.429, 0.350, 0.270], [0.429, 0.580, 0.159], [0.571, 0.420, 0.841], [0.571, 0.650, 0.730], [0.580, 0.159, 0.230], [0.580, 0.159, 0.429], [0.580, 0.920, 0.150], [0.580, 0.920, 0.350], [0.650, 0.420, 0.080], [0.650, 0.730, 0.571], [0.659, 0.080, 0.730], [0.659, 0.080, 0.929], [0.730, 0.571, 0.650], [0.730, 0.659, 0.080], [0.770, 0.420, 0.841], [0.770, 0.850, 0.929], [0.841, 0.571, 0.420], [0.841, 0.770, 0.420], [0.850, 0.420, 0.080], [0.850, 0.929, 0.770], [0.920, 0.071, 0.341], [0.920, 0.150, 0.580], [0.920, 0.270, 0.341], [0.920, 0.350, 0.580], [0.929, 0.659, 0.080], [0.929, 0.770, 0.850]]}



{"formula": "VMoH3", "functional": "GGA-PBE", "state": "optimized geometry", "lattice_angstrom": [[3.478, 0.000, 0.000], [0.000, 3.478, 0.000], [0.000, 0.000, 3.478]], "species": ["V", "Mo", "H", "H", "H"], "frac_coords": [[0.000, 0.000, 0.000], [0.500, 0.500, 0.500], [0.000, 0.500, 0.500], [0.500, 0.000, 0.500], [0.500, 0.500, 0.000]], "de_polymorph_ev_per_fu": 1.684}



{"formula": "V2MoH6", "functional": "GGA-PBE", "state": "optimized geometry", "lattice_angstrom": [[4.792, -2.129, 0.000], [4.792, 2.129, 0.000], [-0.946, 0.000, 2.872]], "species": ["V", "V", "Mo", "H", "H", "H", "H", "H", "H"], "frac_coords": [[0.168, 0.168, 0.168], [0.832, 0.832, 0.832], [0.500, 0.500, 0.500], [0.074, 0.585, 0.329], [0.234, 0.766, 0.000], [0.415, 0.926, 0.671], [0.585, 0.074, 0.329], [0.766, 0.234, 0.000], [0.926, 0.415, 0.671]]}



{"formula": "VMoH2", "functional": "GGA-PBE", "state": "optimized geometry", "lattice_angstrom": [[1.414, 0.817, 4.941], [-1.414, 0.817, 4.941], [0.000, -1.633, 4.941]], "species": ["V", "Mo", "H", "H"], "frac_coords": [[0.000, 0.000, 0.000], [0.829, 0.829, 0.829], [0.404, 0.404, 0.404], [0.589, 0.589, 0.589]], "de_polymorph_ev_per_fu": 0.926}



{"formula": "V2MoH", "functional": "GGA-PBE", "state": "optimized geometry", "lattice_angstrom": [[0.000, 3.643, 3.643], [3.643, 0.000, 3.643], [3.643, 3.643, 0.000]], "species": ["V", "V", "V", "V", "Mo", "Mo", "H", "H"], "frac_coords": [[0.000, 0.000, 0.000], [0.000, 0.000, 0.500], [0.000, 0.500, 0.000], [0.500, 0.000, 0.000], [0.375, 0.375, 0.375], [0.625, 0.625, 0.625], [0.125, 0.125, 0.125], [0.875, 0.875, 0.875]], "de_polymorph_ev_per_fu": 0.593}



{"formula": "VMo2H4", "functional": "GGA-PBE", "state": "optimized geometry", "lattice_angstrom": [[-2.768, 2.768, 3.908], [2.768, -2.768, 3.908], [2.768, 2.768, -3.908]], "species": ["V", "V", "Mo", "Mo", "Mo", "Mo", "H", "H", "H", "H", "H", "H", "H", "H"], "frac_coords": [[0.375, 0.625, 0.750], [0.625, 0.375, 0.250], [0.000, 0.000, 0.000], [0.000, 0.000, 0.500], [0.000, 0.500, 0.000], [0.500, 0.000, 0.500], [0.232, 0.244, 0.988], [0.243, 0.756, 0.488], [0.244, 0.232, 0.488], [0.244, 0.757, 0.012], [0.756, 0.243, 0.988], [0.756, 0.768, 0.512], [0.757, 0.244, 0.512], [0.768, 0.756, 0.012]], "de_polymorph_ev_per_fu": 0.000}



{"formula": "V2MoH", "functional": "GGA-PBE", "state": "optimized geometry", "lattice_angstrom": [[2.925, 0.000, 0.000], [0.000, 2.925, 0.000], [0.000, 0.000, 5.550]], "species": ["V", "V", "Mo", "H"], "frac_coords": [[0.000, 0.000, 0.210], [0.000, 0.000, 0.790], [0.500, 0.500, 0.500], [0.500, 0.500, 0.000]], "de_polymorph_ev_per_fu": 1.329}



{"formula": "VMoH3", "functional": "GGA-PBE", "state": "optimized geometry", "lattice_angstrom": [[5.168, 0.000, 0.000], [0.000, 4.722, 0.000], [-0.046, 0.000, 5.865]], "species": ["V", "V", "V", "V", "Mo", "Mo", "Mo", "Mo", "H", "H", "H", "H", "H", "H", "H", "H", "H", "H", "H", "H"], "frac_coords": [[0.073, 0.250, 0.378], [0.073, 0.250, 0.878], [0.927, 0.750, 0.122], [0.927, 0.750, 0.622], [0.402, 0.735, 0.375], [0.402, 0.765, 0.875], [0.598, 0.235, 0.125], [0.598, 0.265, 0.625], [0.187, 0.015, 0.646], [0.187, 0.485, 0.146], [0.207, 0.501, 0.605], [0.207, 0.999, 0.105], [0.403, 0.130, 0.378], [0.403, 0.370, 0.878], [0.597, 0.630, 0.122], [0.597, 0.870, 0.622], [0.793, 0.001, 0.895], [0.793, 0.499, 0.395], [0.813, 0.515, 0.854], [0.813, 0.985, 0.354]], "de_polymorph_ev_per_fu": 0.000}



{"formula": "VMoH", "functional": "GGA-PBE", "state": "optimized geometry", "lattice_angstrom": [[-1.283, 1.283, 5.066], [1.283, -1.283, 5.066], [1.283, 1.283, -5.066]], "species": ["V", "Mo", "H"], "frac_coords": [[0.000, 0.000, 0.000], [0.730, 0.730, 0.000], [0.443, 0.443, 0.000]], "de_polymorph_ev_per_fu": 1.361}



{"formula": "V2MoH2", "functional": "GGA-PBE", "state": "optimized geometry", "lattice_angstrom": [[4.486, 0.000, 0.000], [-2.224, 4.749, 0.000], [-2.231, -1.624, 4.463]], "species": ["V", "V", "V", "V", "Mo", "Mo", "H", "H", "H", "H"], "frac_coords": [[0.099, 0.262, 0.420], [0.254, 0.757, 0.254], [0.746, 0.243, 0.746], [0.901, 0.738, 0.580], [0.414, 0.254, 0.087], [0.586, 0.746, 0.913], [0.113, 0.619, 0.874], [0.244, 0.998, 0.508], [0.756, 0.002, 0.492], [0.887, 0.381, 0.126]], "de_polymorph_ev_per_fu": 0.116}



{"formula": "VMoH2", "functional": "GGA-PBE", "state": "optimized geometry", "lattice_angstrom": [[0.000, 2.595, 2.595], [2.595, 0.000, 2.595], [2.595, 2.595, 0.000]], "species": ["V", "Mo", "H", "H"], "frac_coords": [[0.000, 0.000, 0.000], [0.500, 0.500, 0.500], [0.250, 0.250, 0.250], [0.750, 0.750, 0.750]], "de_polymorph_ev_per_fu": 2.347}



{"formula": "V5Mo3H12", "functional": "GGA-PBE", "state": "optimized geometry", "lattice_angstrom": [[-5.309, 5.309, 5.309], [5.309, -5.309, 5.309], [5.309, 5.309, -5.309]], "species": ["V", "V", "V", "V", "V", "V", "V", "V", "V", "V", "V", "V", "V", "V", "V", "V", "V", "V", "V", "V", "Mo", "Mo", "Mo", "Mo", "Mo", "Mo", "Mo", "Mo", "Mo", "Mo", "Mo", "Mo", "H", "H", "H", "H", "H", "H", "H", "H", "H", "H", "H", "H", "H", "H", "H", "H", "H", "H", "H", "H", "H", "H", "H", "H", "H", "H", "H", "H", "H", "H", "H", "H", "H", "H", "H", "H", "H", "H", "H", "H", "H", "H", "H", "H", "H", "H", "H", "H"], "frac_coords": [[0.000, 0.000, 0.000], [0.000, 0.000, 0.500], [0.000, 0.500, 0.000], [0.000, 0.500, 0.500], [0.125, 0.750, 0.875], [0.125, 0.875, 0.250], [0.250, 0.125, 0.875], [0.250, 0.625, 0.375], [0.375, 0.250, 0.625], [0.375, 0.625, 0.750], [0.500, 0.000, 0.000], [0.500, 0.000, 0.500], [0.500, 0.500, 0.000], [0.500, 0.500, 0.500], [0.625, 0.375, 0.250], [0.625, 0.750, 0.375], [0.750, 0.375, 0.625], [0.750, 0.875, 0.125], [0.875, 0.125, 0.750], [0.875, 0.250, 0.125], [0.125, 0.250, 0.375], [0.125, 0.375, 0.750], [0.250, 0.375, 0.125], [0.250, 0.875, 0.625], [0.375, 0.125, 0.250], [0.375, 0.750, 0.125], [0.625, 0.250, 0.875], [0.625, 0.875, 0.750], [0.750, 0.125, 0.375], [0.750, 0.625, 0.875], [0.875, 0.625, 0.250], [0.875, 0.750, 0.625], [0.060, 0.221, 0.140], [0.060, 0.338, 0.920], [0.080, 0.640, 0.418], [0.080, 0.940, 0.662], [0.082, 0.721, 0.662], [0.082, 0.860, 0.420], [0.140, 0.060, 0.221], [0.140, 0.580, 0.918], [0.162, 0.221, 0.582], [0.162, 0.440, 0.580], [0.221, 0.140, 0.060], [0.221, 0.582, 0.162], [0.279, 0.338, 0.918], [0.279, 0.440, 0.360], [0.338, 0.918, 0.279], [0.338, 0.920, 0.060], [0.360, 0.279, 0.440], [0.360, 0.582, 0.920], [0.418, 0.080, 0.640], [0.418, 0.838, 0.779], [0.420, 0.082, 0.860], [0.420, 0.838, 0.560], [0.440, 0.360, 0.279], [0.440, 0.580, 0.162], [0.560, 0.420, 0.838], [0.560, 0.640, 0.721], [0.580, 0.162, 0.440], [0.580, 0.918, 0.140], [0.582, 0.162, 0.221], [0.582, 0.920, 0.360], [0.640, 0.418, 0.080], [0.640, 0.721, 0.560], [0.662, 0.080, 0.940], [0.662, 0.082, 0.721], [0.721, 0.560, 0.640], [0.721, 0.662, 0.082], [0.779, 0.418, 0.838], [0.779, 0.860, 0.940], [0.838, 0.560, 0.420], [0.838, 0.779, 0.418], [0.860, 0.420, 0.082], [0.860, 0.940, 0.779], [0.918, 0.140, 0.580], [0.918, 0.279, 0.338], [0.920, 0.060, 0.338], [0.920, 0.360, 0.582], [0.940, 0.662, 0.080], [0.940, 0.779, 0.860]]}



{"formula": "V2MoH2", "functional": "GGA-PBE", "state": "optimized geometry", "lattice_angstrom": [[5.701, 0.000, 0.000], [0.000, 5.701, 0.000], [0.000, 0.000, 3.035]], "species": ["V", "V", "V", "V", "Mo", "Mo", "H", "H", "H", "H"], "frac_coords": [[0.162, 0.338, 0.000], [0.338, 0.838, 0.000], [0.662, 0.162, 0.000], [0.838, 0.662, 0.000], [0.000, 0.000, 0.500], [0.500, 0.500, 0.500], [0.170, 0.670, 0.500], [0.330, 0.170, 0.500], [0.670, 0.830, 0.500], [0.830, 0.330, 0.500]], "de_polymorph_ev_per_fu": 2.155}



{"formula": "VMo2H2", "functional": "GGA-PBE", "state": "optimized geometry", "lattice_angstrom": [[5.822, 0.000, 0.000], [0.000, 5.822, 0.000], [0.000, 0.000, 3.021]], "species": ["V", "V", "Mo", "Mo", "Mo", "Mo", "H", "H", "H", "H"], "frac_coords": [[0.000, 0.000, 0.000], [0.500, 0.500, 0.000], [0.159, 0.341, 0.500], [0.341, 0.841, 0.500], [0.659, 0.159, 0.500], [0.841, 0.659, 0.500], [0.193, 0.693, 0.000], [0.307, 0.193, 0.000], [0.693, 0.807, 0.000], [0.807, 0.307, 0.000]], "de_polymorph_ev_per_fu": 1.078}



| no. | energy (eV per atom) |
| --- | --- |
| 1 | -8.270 |
| 2 | -6.620 |
| 3 | -7.390 |
| 4 | -6.049 |
| 5 | -5.718 |
| 6 | -5.601 |
| 7 | -6.495 |
| 8 | -7.856 |
| 9 | -6.180 |
| 10 | -7.672 |
| 11 | -6.055 |
| 12 | -7.421 |
| 13 | -7.291 |
| 14 | -6.139 |
| 15 | -5.913 |
| 16 | -6.883 |
| 17 | -7.267 |